A plane-wave DFT calculation with PBE was carried out for a relaxed Mg3As crystal.

Lattice parameters (Å, degrees): 6.1501 6.7302 8.4461 90.00 90.00 90.00
Atoms (fractional coordinates):
As1 0.5404 0.8881 0.7500
As2 0.0404 0.6119 0.2500
As3 0.9596 0.3881 0.7500
As4 0.4596 0.1119 0.2500
Mg1 0.0959 0.9980 0.7500
Mg2 0.5959 0.5020 0.2500
Mg3 0.4041 0.4980 0.7500
Mg4 0.9041 0.0020 0.2500
Mg5 0.6693 0.1908 0.9531
Mg6 0.1693 0.3092 0.0469
Mg7 0.8307 0.6908 0.5469
Mg8 0.3307 0.8092 0.4531
Mg9 0.3307 0.8092 0.0469
Mg10 0.8307 0.6908 0.9531
Mg11 0.1693 0.3092 0.4531
Mg12 0.6693 0.1908 0.5469

Calculated formation energy   -0.240 eV/atom

A plane-wave DFT calculation with PBE was carried out for a relaxed SbTe2RhBr crystal.

Lattice parameters (Å, degrees): 5.2466 5.2466 5.2645 90.00 90.00 90.00
Atoms (fractional coordinates):
Sb1 0.0000 0.0000 0.5000
Te1 0.0000 0.5000 0.0000
Te2 0.5000 0.0000 0.0000
Rh1 0.0000 0.0000 0.0000
Br1 0.5000 0.5000 0.5000

Distance to the lowest polymorph of the same formula   0.0 meV/atom
ΔE_f (raw)   0.276 eV per atom

A plane-wave DFT calculation with PBE was carried out for a relaxed ZnFe2Mo crystal.

Lattice parameters (Å, degrees): 2.5914 2.5914 8.2296 90.00 90.00 104.83
Site moments in Bohr magnetons follow the coordinates.
Atoms (fractional coordinates):
Fe1 0.0000 0.0000 0.0097  2.44
Fe2 0.5000 0.5000 0.2359  2.27
Mo1 0.0000 0.0000 0.4895  -0.18
Zn1 0.5000 0.5000 0.7649  -0.04

Calculated formation energy   0.092 eV/atom

A plane-wave DFT calculation with PBE was carried out for a relaxed PmPr4Sm6 crystal.

Lattice parameters (Å, degrees): 9.7966 9.7966 9.7966 58.83 139.36 139.36
Atoms (fractional coordinates):
Pm1 0.0000 0.0000 0.0000
Pr1 0.0000 0.6324 0.0134
Pr2 0.3810 0.3676 0.3676
Pr3 0.0000 0.0134 0.6324
Pr4 0.6190 0.9866 0.9866
Sm1 0.0000 0.7971 0.4464
Sm2 0.0000 0.4464 0.7971
Sm3 0.3507 0.5536 0.5536
Sm4 0.5000 0.5000 0.0000
Sm5 0.6493 0.2029 0.2029
Sm6 0.5000 0.0000 0.5000

Distance to the lowest polymorph of the same formula   0.0 meV/atom
Calculated formation energy   0.284 eV/atom

A plane-wave DFT calculation with PBE was carried out for a relaxed SrTaRe2 crystal.

Lattice parameters (Å, degrees): 3.1448 4.8782 4.7714 90.00 90.00 90.00
Atoms (fractional coordinates):
Re1 0.0000 0.0000 0.0000
Re2 0.5000 0.5000 0.0000
Sr1 0.5000 0.0000 0.5000
Ta1 0.0000 0.5000 0.5000

Distance to the lowest polymorph of the same formula   568.6 meV/atom
Calculated formation energy   1.114 eV/atom

A plane-wave DFT calculation with PBE was carried out for a relaxed Zr2NpP3 crystal.

Lattice parameters (Å, degrees): 5.3667 5.3903 8.5198 108.44 90.00 90.00
Site moments in Bohr magnetons follow the coordinates.
Atoms (fractional coordinates):
Zr1 0.5000 0.8361 0.6722  0.08
Zr2 0.5000 0.1639 0.3278  0.08
Zr3 0.0000 0.0000 0.0000  0.02
Zr4 0.5000 0.5000 0.0000  0.06
Np1 0.0000 0.3332 0.6663  3.40
Np2 0.0000 0.6668 0.3337  3.40
P1 0.5000 0.3338 0.6676  -0.04
P2 0.0000 0.8358 0.6716  -0.06
P3 0.5000 0.6662 0.3324  -0.04
P4 0.0000 0.1642 0.3284  -0.06
P5 0.0000 0.5000 0.0000  -0.04
P6 0.5000 0.0000 0.0000  0.01

Calculated formation energy   -1.212 eV/atom

A plane-wave DFT calculation with PBE was carried out for a relaxed CrFe2TcH crystal.

Lattice parameters (Å, degrees): 3.6242 3.6242 3.8349 90.00 90.00 90.00
Site moments in Bohr magnetons follow the coordinates.
Atoms (fractional coordinates):
Cr1 0.5000 0.5000 0.5000  -1.59
Tc1 0.0000 0.0000 0.5000  0.38
H1 0.0000 0.0000 0.0000  -0.01
Fe1 0.0000 0.5000 0.0000  1.32
Fe2 0.5000 0.0000 0.0000  1.32

Distance to the lowest polymorph of the same formula   20.9 meV/atom

A plane-wave DFT calculation with PBE was carried out for a relaxed Sc4CoMo crystal.

Lattice parameters (Å, degrees): 5.5033 5.5033 5.5033 60.00 60.00 60.00
Site moments in Bohr magnetons follow the coordinates.
Atoms (fractional coordinates):
Sc1 0.8762 0.3746 0.3746  -0.12
Sc2 0.3746 0.3746 0.8762  -0.12
Sc3 0.3746 0.8762 0.3746  -0.12
Sc4 0.3746 0.3746 0.3746  -0.12
Co1 0.7500 0.7500 0.7500  1.60
Mo1 0.0000 0.0000 0.0000  0.34

Calculated formation energy   0.759 eV/atom

A plane-wave DFT calculation with PBE was carried out for a relaxed NbSbS3 crystal.

Lattice parameters (Å, degrees): 6.0642 8.9214 8.9214 74.59 92.95 92.95
Atoms (fractional coordinates):
Nb1 0.7500 0.2909 0.7091
Nb2 0.7500 0.5575 0.4425
Nb3 0.2500 0.4425 0.5575
Nb4 0.2500 0.7091 0.2909
Sb1 0.7010 0.7245 0.9013
Sb2 0.2010 0.9013 0.7245
Sb3 0.7990 0.0987 0.2755
Sb4 0.2990 0.2755 0.0987
S1 0.5636 0.0010 0.8101
S2 0.0636 0.8101 0.0010
S3 0.9509 0.5365 0.6957
S4 0.9509 0.8317 0.3884
S5 0.4509 0.6957 0.5365
S6 0.4509 0.3884 0.8317
S7 0.5491 0.6116 0.1683
S8 0.5491 0.3043 0.4635
S9 0.0491 0.1683 0.6116
S10 0.0491 0.4635 0.3043
S11 0.9364 0.1899 0.9990
S12 0.4364 0.9990 0.1899

Distance to the lowest polymorph of the same formula   0.0 meV/atom
ΔE_f (raw)   -0.556 eV per atom

A plane-wave DFT calculation with PBE was carried out for a relaxed Pm6PPb3 crystal.

Lattice parameters (Å, degrees): 7.5573 9.6740 9.6740 101.12 90.00 90.00
Site moments in Bohr magnetons follow the coordinates.
Atoms (fractional coordinates):
Pm1 0.1809 0.6963 0.6239  0.20
Pm2 0.6809 0.6239 0.6963  0.20
Pm3 0.1768 0.4069 0.9055  0.10
Pm4 0.6768 0.9055 0.4069  0.10
Pm5 0.2579 0.0053 0.9947  0.07
Pm6 0.6671 0.2387 0.7613  0.18
Pm7 0.1671 0.7613 0.2387  0.18
Pm8 0.7579 0.9947 0.0053  0.07
Pm9 0.1768 0.0945 0.5931  0.10
Pm10 0.6768 0.5931 0.0945  0.10
Pm11 0.1809 0.3761 0.3037  0.20
Pm12 0.6809 0.3037 0.3761  0.20
P1 0.9936 0.1498 0.8502  -0.01
P2 0.4936 0.8502 0.1498  -0.01
Pb1 0.4923 0.9239 0.7087  -0.02
Pb2 0.9923 0.7087 0.9239  -0.02
Pb3 0.3666 0.3942 0.6058  -0.02
Pb4 0.8666 0.6058 0.3942  -0.02
Pb5 0.9923 0.0761 0.2913  -0.02
Pb6 0.4923 0.2913 0.0761  -0.02

Calculated formation energy   -0.483 eV/atom

A plane-wave DFT calculation with PBE was carried out for a relaxed CoTc2 crystal.

Lattice parameters (Å, degrees): 2.6593 5.0481 6.2949 76.45 90.00 105.27
Atoms (fractional coordinates):
Co1 0.3907 0.7814 0.7177
Co2 0.3315 0.6630 0.3378
Tc1 0.9955 0.9909 0.0026
Tc2 0.6757 0.3514 0.6653
Tc3 0.0465 0.0930 0.3903
Tc4 0.7268 0.4535 0.0530

Distance to the lowest polymorph of the same formula   7.4 meV/atom
Calculated formation energy   0.020 eV/atom

A plane-wave DFT calculation with PBE was carried out for a relaxed KRbOsO4 crystal.

Lattice parameters (Å, degrees): 7.0090 7.0090 7.0090 60.00 60.00 60.00
Site moments in Bohr magnetons follow the coordinates.
Atoms (fractional coordinates):
K1 0.5000 0.5000 0.5000  0.01
Rb1 0.7500 0.7500 0.7500  0.00
Os1 0.2500 0.2500 0.2500  1.10
O1 0.3553 0.3553 0.9340  0.15
O2 0.3553 0.3553 0.3553  0.15
O3 0.3553 0.9340 0.3553  0.15
O4 0.9340 0.3553 0.3553  0.15

ΔE_f (raw)   -1.188 eV per atom

A plane-wave DFT calculation with PBE was carried out for a relaxed Li2TiCoCl crystal.

Lattice parameters (Å, degrees): 5.4079 4.5053 5.4079 90.00 90.00 90.00
Site moments in Bohr magnetons follow the coordinates.
Atoms (fractional coordinates):
Cl1 0.0000 0.5000 0.0000  -0.05
Co1 0.5000 0.5000 0.5000  2.17
Li1 0.0000 0.0000 0.5000  0.02
Li2 0.5000 0.0000 0.0000  0.04
Ti1 0.0000 0.0000 0.0000  1.61

ΔE_f (raw)   0.839 eV per atom

A plane-wave DFT calculation with PBE was carried out for a relaxed Dy3Ho2Tm6Hf crystal.

Lattice parameters (Å, degrees): 6.0146 6.0146 11.4884 94.99 94.99 119.91
Atoms (fractional coordinates):
Dy1 0.1666 0.8334 0.5000
Dy2 0.8334 0.1666 0.5000
Dy3 0.5000 0.5000 0.5000
Ho1 0.3332 0.6668 0.0000
Ho2 0.6668 0.3332 0.0000
Tm1 0.9192 0.5931 0.7561
Tm2 0.7547 0.7547 0.2436
Tm3 0.0808 0.4069 0.2439
Tm4 0.5931 0.9192 0.7561
Tm5 0.2453 0.2453 0.7564
Tm6 0.4069 0.0808 0.2439
Hf1 0.0000 0.0000 0.0000

Calculated formation energy   0.059 eV/atom

A plane-wave DFT calculation with PBE was carried out for a relaxed Ta2NbTc3 crystal.

Lattice parameters (Å, degrees): 3.1909 3.1909 9.5560 90.00 90.00 90.00
Atoms (fractional coordinates):
Ta1 0.5000 0.5000 0.8333
Ta2 0.5000 0.5000 0.1667
Nb1 0.5000 0.5000 0.5000
Tc1 0.0000 0.0000 0.0000
Tc2 0.0000 0.0000 0.6674
Tc3 0.0000 0.0000 0.3326

Calculated formation energy   -0.447 eV/atom

A plane-wave DFT calculation with PBE was carried out for a relaxed PrDy3Th2N6 crystal.

Lattice parameters (Å, degrees): 3.5821 7.1528 7.9827 102.82 102.97 90.00
Atoms (fractional coordinates):
Pr1 0.5000 0.0000 0.0000
Dy1 0.5000 0.5000 0.0000
Dy2 0.8346 0.1655 0.6693
Dy3 0.1654 0.8345 0.3307
Th1 0.8345 0.6697 0.6691
Th2 0.1655 0.3303 0.3309
N1 0.3289 0.9147 0.6579
N2 0.6663 0.5844 0.3326
N3 0.6711 0.0853 0.3421
N4 0.0012 0.2628 0.0024
N5 0.9988 0.7372 0.9976
N6 0.3337 0.4156 0.6674

ΔE_f (raw)   -1.592 eV per atom

A plane-wave DFT calculation with PBE was carried out for a relaxed Mg2TaMo crystal.

Lattice parameters (Å, degrees): 2.7848 2.7848 9.5748 90.00 90.00 90.00
Atoms (fractional coordinates):
Mg1 0.0000 0.0000 0.9933
Mg2 0.5000 0.5000 0.2645
Mo1 0.0000 0.0000 0.4987
Ta1 0.5000 0.5000 0.7435

Distance to the lowest polymorph of the same formula   142.2 meV/atom
Calculated formation energy   0.292 eV/atom

A plane-wave DFT calculation with PBE was carried out for a relaxed MgMoAs crystal.

Lattice parameters (Å, degrees): 4.5852 4.5852 2.7796 90.00 90.00 120.00
Atoms (fractional coordinates):
As1 0.0000 0.0000 0.8336
Mg1 0.6667 0.3333 0.3327
Mo1 0.3333 0.6667 0.8338

Distance to the lowest polymorph of the same formula   308.3 meV/atom
Calculated formation energy   0.121 eV/atom

A plane-wave DFT calculation with PBE was carried out for a relaxed SrSb3Rh crystal.

Lattice parameters (Å, degrees): 5.2826 5.2826 5.2826 90.00 90.00 90.00
Atoms (fractional coordinates):
Sb1 0.0000 0.5000 0.0000
Sb2 0.0000 0.0000 0.5000
Sb3 0.5000 0.0000 0.0000
Rh1 0.0000 0.0000 0.0000
Sr1 0.5000 0.5000 0.5000

Distance to the lowest polymorph of the same formula   0.0 meV/atom
ΔE_f (raw)   -0.193 eV per atom

A plane-wave DFT calculation with PBE was carried out for a relaxed ZrSF2 crystal.

Lattice parameters (Å, degrees): 6.2594 5.4158 10.7835 90.00 90.00 90.00
Atoms (fractional coordinates):
Zr1 0.0002 0.2500 0.6075
Zr2 0.9998 0.7500 0.3925
Zr3 0.5002 0.2500 0.8925
Zr4 0.4998 0.7500 0.1075
S1 0.2495 0.5608 0.2498
S2 0.7505 0.4392 0.7502
S3 0.7495 0.9392 0.2502
S4 0.2505 0.0608 0.7498
F1 0.6656 0.9363 0.9453
F2 0.3344 0.0637 0.0547
F3 0.1656 0.5637 0.5547
F4 0.8344 0.4363 0.4453
F5 0.6655 0.4363 0.0549
F6 0.3345 0.5637 0.9451
F7 0.1655 0.0637 0.4451
F8 0.8345 0.9363 0.5549

Distance to the lowest polymorph of the same formula   0.0 meV/atom
ΔE_f (raw)   -2.718 eV per atom